# K2YBe

A geometry-optimized K2YBe structure (PBE, Alexandria).

The structure in CIF format:
```
data_K2YBe
_chemical_formula_sum 'K2 Y1 Be1'
_cell_length_a 3.682
_cell_length_b 6.009
_cell_length_c 6.660
_cell_angle_alpha 90.00
_cell_angle_beta 90.00
_cell_angle_gamma 90.00
_space_group_name_H-M_alt 'P m m m'
_space_group_IT_number 47
loop_
_space_group_symop_operation_xyz
'x,y,z'
'-x,-y,-z'
'-x,-y,z'
'x,y,-z'
'x,-y,-z'
'-x,y,z'
'-x,y,-z'
'x,-y,z'
loop_
_atom_site_label
_atom_site_type_symbol
_atom_site_fract_x
_atom_site_fract_y
_atom_site_fract_z
K1 K 0.000 0.000 0.231
Y1 Y 0.500 0.500 0.500
Be1 Be 0.500 0.500 0.000
```

Properties
ΔE_f = 91.05 kJ per mole of atoms
DOS(E_F) = 1.153 states/eV/atom
E_tot = -2.15 eV/atom
Theoretical density = 2.0 g cm⁻³

# K3YBe

A geometry-optimized K3YBe structure (PBE, Alexandria).

The structure in CIF format:
```
data_K3YBe
_chemical_formula_sum 'K3 Y1 Be1'
_cell_length_a 6.322
_cell_length_b 6.322
_cell_length_c 6.322
_cell_angle_alpha 90.00
_cell_angle_beta 90.00
_cell_angle_gamma 90.00
_space_group_name_H-M_alt 'P m -3 m'
_space_group_IT_number 221
_space_group_name_Hall '-P 4 2 3'
loop_
_atom_site_label
_atom_site_type_symbol
_atom_site_fract_x
_atom_site_fract_y
_atom_site_fract_z
K1 K 0.000 0.000 0.500
Y1 Y 0.500 0.500 0.500
Be1 Be 0.000 0.000 0.000
```

Properties
ΔE_f = 96.86 kJ per mole of atoms
DOS(E_F) = 0.935 states/eV/atom
E_tot = -1.69 eV/atom
Theoretical density = 1.4 g cm⁻³

# K2YBe

A geometry-optimized K2YBe structure (PBE, Alexandria).

The structure in CIF format:
```
data_K2YBe
_chemical_formula_sum 'K6 Y3 Be3'
_cell_length_a 3.6983
_cell_length_b 3.6983
_cell_length_c 37.6073
_cell_angle_alpha 90.00
_cell_angle_beta 90.00
_cell_angle_gamma 120.00
_space_group_name_H-M_alt 'R -3 m'
_space_group_IT_number 166
_space_group_name_Hall '-R 3 2"'
loop_
_atom_site_label
_atom_site_type_symbol
_atom_site_fract_x
_atom_site_fract_y
_atom_site_fract_z
K1 K 0.0000 0.0000 0.2376
Y1 Y 0.0000 0.0000 0.0000
Be1 Be 0.0000 0.0000 0.5000
```

Properties
ΔE_f = 87.81 kJ per mole of atoms
DOS(E_F) = 1.291 states/eV/atom
E_tot = -2.19 eV/atom
Theoretical density = 2.0 g cm⁻³

# K2YBe

A geometry-optimized K2YBe structure (PBE, Alexandria).

The structure in CIF format:
```
data_K2YBe
_chemical_formula_sum 'K4 Y2 Be2'
_cell_length_a 6.432
_cell_length_b 13.316
_cell_length_c 3.776
_cell_angle_alpha 90.00
_cell_angle_beta 123.76
_cell_angle_gamma 90.00
_space_group_name_H-M_alt 'C 1 2/m 1'
_space_group_IT_number 12
loop_
_space_group_symop_operation_xyz
'x,y,z'
'-x,-y,-z'
'-x,y,-z'
'x,-y,z'
'x+1/2,y+1/2,z'
'-x+1/2,-y+1/2,-z'
'-x+1/2,y+1/2,-z'
'x+1/2,-y+1/2,z'
loop_
_atom_site_label
_atom_site_type_symbol
_atom_site_fract_x
_atom_site_fract_y
_atom_site_fract_z
K1 K 0.250 0.250 0.000
Y1 Y 0.000 0.000 0.500
Be1 Be 0.000 0.500 0.500
```

Properties
ΔE_f = 82.27 kJ per mole of atoms
DOS(E_F) = 0.917 states/eV/atom
E_tot = -2.24 eV/atom
Theoretical density = 2.2 g cm⁻³

# KY2Be

A geometry-optimized KY2Be structure (PBE, Alexandria).

The structure in CIF format:
```
data_KY2Be
_chemical_formula_sum 'K3 Y6 Be3'
_cell_length_a 3.7502
_cell_length_b 3.7502
_cell_length_c 32.9943
_cell_angle_alpha 90.00
_cell_angle_beta 90.00
_cell_angle_gamma 120.00
_space_group_name_H-M_alt 'R -3 m'
_space_group_IT_number 166
_space_group_name_Hall '-R 3 2"'
loop_
_atom_site_label
_atom_site_type_symbol
_atom_site_fract_x
_atom_site_fract_y
_atom_site_fract_z
K1 K 0.0000 0.0000 0.0000
Y1 Y 0.0000 0.0000 0.2195
Be1 Be 0.0000 0.0000 0.5000
```

Properties
ΔE_f = 33.77 kJ per mole of atoms
DOS(E_F) = 1.378 states/eV/atom
E_tot = -4.09 eV/atom
Theoretical density = 2.8 g cm⁻³

# KY2Be

A geometry-optimized KY2Be structure (PBE, Alexandria).

The structure in CIF format:
```
data_KY2Be
_chemical_formula_sum 'K1 Y2 Be1'
_cell_length_a 3.808
_cell_length_b 3.808
_cell_length_c 9.259
_cell_angle_alpha 90.00
_cell_angle_beta 90.00
_cell_angle_gamma 90.00
_space_group_name_H-M_alt 'P 4 m m'
_space_group_IT_number 99
loop_
_space_group_symop_operation_xyz
'x,y,z'
'-y,x,z'
'-x,-y,z'
'y,-x,z'
'-x,y,z'
'y,x,z'
'x,-y,z'
'-y,-x,z'
loop_
_atom_site_label
_atom_site_type_symbol
_atom_site_fract_x
_atom_site_fract_y
_atom_site_fract_z
K1 K 0.000 0.000 0.000
Y1 Y 0.000 0.000 0.610
Y2 Y 0.500 0.500 0.380
Be1 Be 0.500 0.500 0.708
```

Properties
ΔE_f = 37.96 kJ per mole of atoms
DOS(E_F) = 0.956 states/eV/atom
E_tot = -4.04 eV/atom
Theoretical density = 2.8 g cm⁻³

> ΔE_f of number 2 (K3YBe)?

96.86 kJ per mole of atoms